Record 1
## Zr3Cl (PBE)

Data for Zr3Cl after structural relaxation.

## Properties
Uncorrected formation energy = 0.237 eV/atom
Magnetic moment = 0.000 μB per atom

a = 4.4231 Å, b = 4.4231 Å, c = 4.4231 Å
α = 90.00°, β = 90.00°, γ = 90.00°
Atoms (fractional coordinates):
Zr  0.0000  0.5000  0.5000
Zr  0.5000  0.0000  0.5000
Zr  0.5000  0.5000  0.0000
Cl  0.0000  0.0000  0.0000

Record 2
## Li2TlRh2 (PBE)

Data for Li2TlRh2 after structural relaxation.

## Properties
Formation energy = -0.0468 eV/atom
Magnetic moment = 0.000 μB per atom

a = 6.9887 Å, b = 6.9887 Å, c = 3.2178 Å
α = 90.00°, β = 90.00°, γ = 90.00°
Atoms (fractional coordinates):
Li  0.8354  0.3355  0.5000
Li  0.3355  0.1646  0.5000
Li  0.1646  0.6646  0.5000
Li  0.6646  0.8354  0.5000
Rh  0.3691  0.8691  0.0000
Rh  0.8691  0.6309  0.0000
Rh  0.6309  0.1309  0.0000
Rh  0.1309  0.3691  0.0000
Tl  0.5000  0.5000  0.0000
Tl  0.0000  0.0000  0.0000

Record 3
## NbFe2H2 (PBE)

Data for NbFe2H2 after structural relaxation.

## Properties
DFT total energy = -6.7076 eV/atom
Magnetic moment = 0.565 μB per atom

a = 3.2561 Å, b = 3.2561 Å, c = 4.8023 Å
α = 70.18°, β = 70.18°, γ = 90.00°
Atoms (fractional coordinates):
H  0.7500  0.2500  0.5000
H  0.2500  0.7500  0.5000
Fe  0.6605  0.6605  0.6791
Fe  0.3395  0.3395  0.3209
Nb  0.0000  0.0000  0.0000

Record 4
## NpSiPt3 (PBE)

Data for NpSiPt3 after structural relaxation.

## Properties
Uncorrected formation energy = -0.529 eV/atom
Magnetic moment = 0.735 μB per atom

a = 6.5206 Å, b = 7.1706 Å, c = 8.0514 Å
α = 90.00°, β = 90.00°, γ = 90.00°
Atoms (fractional coordinates):
Pt  0.8410  0.4102  0.7500
Pt  0.1980  0.7889  0.9419
Pt  0.8020  0.2111  0.0581
Pt  0.8020  0.2111  0.4419
Pt  0.3020  0.2889  0.4419
Pt  0.6980  0.7111  0.9419
Pt  0.3020  0.2889  0.0581
Pt  0.1590  0.5898  0.2500
Pt  0.6590  0.9102  0.2500
Pt  0.6980  0.7111  0.5581
Pt  0.1980  0.7889  0.5581
Pt  0.3410  0.0898  0.7500
Si  0.5000  0.0000  0.5000
Si  0.0000  0.5000  0.0000
Si  0.0000  0.5000  0.5000
Si  0.5000  0.0000  0.0000
Np  0.1083  0.9922  0.2500
Np  0.6083  0.5078  0.2500
Np  0.3917  0.4922  0.7500
Np  0.8917  0.0078  0.7500

Record 5
## TcB6N6 (PBE)

Data for TcB6N6 after structural relaxation.

## Properties
Uncorrected formation energy = -0.087 eV/atom
Magnetic moment = 0.228 μB per atom

a = 4.5867 Å, b = 4.5867 Å, c = 4.5867 Å
α = 90.00°, β = 90.00°, γ = 90.00°
Atoms (fractional coordinates):
B  0.0000  0.5000  0.2572
B  0.2572  0.0000  0.5000
B  0.5000  0.7428  0.0000
B  0.0000  0.5000  0.7428
B  0.5000  0.2572  0.0000
B  0.7428  0.0000  0.5000
Tc  0.5000  0.5000  0.5000
N  0.0000  0.7531  0.5000
N  0.2469  0.5000  0.0000
N  0.0000  0.2469  0.5000
N  0.7531  0.5000  0.0000
N  0.5000  0.0000  0.7531
N  0.5000  0.0000  0.2469

Record 6
## SrHf2TlSi (PBE)

Data for SrHf2TlSi after structural relaxation.

## Properties
Uncorrected formation energy = 1.866 eV/atom
Magnetic moment = 0.000 μB per atom

a = 5.3011 Å, b = 5.3881 Å, c = 5.3011 Å
α = 90.00°, β = 90.00°, γ = 90.00°
Atoms (fractional coordinates):
Hf  0.0000  0.0000  0.5000
Hf  0.5000  0.0000  0.0000
Sr  0.0000  0.0000  0.0000
Tl  0.5000  0.5000  0.5000
Si  0.0000  0.5000  0.0000

D(E_F) for every record listed, in sequence, given in states/eV per cell: 5.91; 6.93; 3.15; 42.48; 2.02; 3.80.